[1]
A plane-wave DFT calculation with PBE was carried out for a relaxed structure of BeZn3Cl.

Calculated values
Raw formation energy, kJ/mol of atoms: 98.6

```
data_BeZn3Cl
_chemical_formula_sum 'Be1 Zn3 Cl1'
_space_group_name_H-M_alt 'P m -3 m'
_space_group_IT_number 221
_space_group_name_Hall '-P 4 2 3'
_cell_length_a 4.937
_cell_length_b 4.937
_cell_length_c 4.937
_cell_angle_alpha 90.00
_cell_angle_beta 90.00
_cell_angle_gamma 90.00
loop_
_atom_site_label
_atom_site_fract_x
_atom_site_fract_y
_atom_site_fract_z
Be1 0.000 0.000 0.000
Zn1 0.000 0.500 0.500
Cl1 0.500 0.500 0.500
```


[2]
A plane-wave DFT calculation with PBE was carried out for a relaxed structure of DyNiAgPd.

Calculated values
Formation energy from the elements, eV/atom: -0.36

```
data_DyNiAgPd
_chemical_formula_sum 'Dy4 Ni4 Ag4 Pd4'
_space_group_name_H-M_alt 'F -4 3 m'
_space_group_IT_number 216
_space_group_name_Hall 'F -4 2 3'
_cell_length_a 6.577
_cell_length_b 6.577
_cell_length_c 6.577
_cell_angle_alpha 90.00
_cell_angle_beta 90.00
_cell_angle_gamma 90.00
loop_
_atom_site_label
_atom_site_fract_x
_atom_site_fract_y
_atom_site_fract_z
Dy1 0.000 0.000 0.000
Ni1 0.250 0.250 0.750
Ag1 0.000 0.000 0.500
Pd1 0.250 0.250 0.250
```


[3]
A plane-wave DFT calculation with PBE was carried out for a relaxed structure of ScCoMo.

Calculated values
Formation energy from the elements, eV/atom: 0.29

```
data_ScCoMo
_chemical_formula_sum 'Sc1 Co1 Mo1'
_space_group_name_H-M_alt 'P 3 m 1'
_space_group_IT_number 156
_cell_length_a 2.9638
_cell_length_b 2.9638
_cell_length_c 6.3245
_cell_angle_alpha 90.00
_cell_angle_beta 90.00
_cell_angle_gamma 120.00
loop_
_space_group_symop_operation_xyz
'x,y,z'
'-y,x-y,z'
'-x+y,-x,z'
'-y,-x,z'
'-x+y,y,z'
'x,x-y,z'
loop_
_atom_site_label
_atom_site_fract_x
_atom_site_fract_y
_atom_site_fract_z
Sc1 0.0000 0.0000 0.0000
Co1 0.6667 0.3333 0.3370
Mo1 0.3333 0.6667 0.6215
```


[4]
A plane-wave DFT calculation with PBE was carried out for a relaxed structure of Nd6HgGe2Te3.

Calculated values
Raw formation energy, kJ/mol of atoms: -107.0

```
data_Nd6HgGe2Te3
_chemical_formula_sum 'Nd12 Hg2 Ge4 Te6'
_space_group_name_H-M_alt 'C 1 2/m 1'
_space_group_IT_number 12
_cell_length_a 19.389
_cell_length_b 4.394
_cell_length_c 8.992
_cell_angle_alpha 90.00
_cell_angle_beta 104.45
_cell_angle_gamma 90.00
loop_
_space_group_symop_operation_xyz
'x,y,z'
'-x,-y,-z'
'-x,y,-z'
'x,-y,z'
'x+1/2,y+1/2,z'
'-x+1/2,-y+1/2,-z'
'-x+1/2,y+1/2,-z'
'x+1/2,-y+1/2,z'
loop_
_atom_site_label
_atom_site_fract_x
_atom_site_fract_y
_atom_site_fract_z
Nd1 0.007 0.000 0.258
Nd2 0.169 0.500 0.104
Nd3 0.173 0.500 0.568
Hg1 0.000 0.500 0.000
Ge1 0.166 0.000 0.332
Te1 0.000 0.500 0.500
Te2 0.164 0.000 0.833
```


Number 1: total magnetization 0.000 μB per atom, volume 24.1 A^3/atom. Number 2: total magnetization 0.000 μB per atom, volume 17.8 A^3/atom. Number 3: total magnetization 0.000 μB per atom, volume 16.0 A^3/atom. Number 4: total magnetization 0.000 μB per atom, volume 30.9 A^3/atom.